Entry 1
GGA-PBE IrAuN2, optimized geometry; M_tot = 0.00 Bohr magnetons per cell; SG = No. 166; calculated density = 13.41 g/cm3
1.0
-5.7363 -2.7713 0.9316
-3.7049 -5.0659 1.4365
-4.3278 -3.0197 3.6885
N Ir Au
2 1 1
Direct
0.1117 0.1117 0.1117
0.8883 0.8883 0.8883
0.5000 0.5000 0.5000
0.0000 0.0000 0.0000

=====

Entry 2
GGA-PBE IrAuN2, optimized geometry; M_tot = 0.00 Bohr magnetons per cell; SG = No. 122; calculated density = 12.09 g/cm3
1.0
-0.4553 -3.1096 -3.8045
4.8907 0.0817 -0.6521
2.6698 -5.1679 0.7042
Au N Ir
2 4 2
Direct
0.7500 0.2500 0.5000
0.0000 0.0000 0.0000
0.1859 0.6250 0.2500
0.5641 0.1250 0.2500
0.3750 0.4359 0.7500
0.8750 0.8141 0.7500
0.5000 0.5000 0.0000
0.2500 0.7500 0.5000

=====

Most stable structure: entry 1

=====

Entry 1
GGA-PBE IrAuS2N, optimized geometry; M_tot = 0.00 Bohr magnetons per cell; SG = No. 123; calculated density = 8.89 g/cm3
1.0
-4.6795 0.4852 -1.3599
-0.5447 -4.8648 0.1386
-0.9935 0.2108 3.4942
S Au Ir N
2 1 1 1
Direct
0.5000 0.0000 0.0000
0.0000 0.5000 0.0000
0.5000 0.5000 0.5000
0.0000 0.0000 0.0000
0.0000 0.0000 0.5000

=====

Entry 2
GGA-PBE IrAuS2N, optimized geometry; M_tot = 0.71 Bohr magnetons per cell; SG = No. 123; calculated density = 8.65 g/cm3
1.0
4.9447 0.0000 0.0000
0.0000 4.9447 0.0000
0.0000 0.0000 3.6681
S Au N Ir
2 1 1 1
Direct
0.0000 0.5000 0.0000
0.5000 0.0000 0.0000
0.0000 0.0000 0.0000
0.0000 0.0000 0.5000
0.5000 0.5000 0.5000

=====

Most stable structure: entry 1

=====

Entry 1
GGA-PBE IrAuSeN2, optimized geometry; M_tot = 0.83 Bohr magnetons per cell; SG = No. 123; calculated density = 7.15 g/cm3
1.0
3.7317 0.0000 0.0000
0.0000 3.7317 0.0000
0.0000 0.0000 8.2694
N Au Ir Se
2 1 1 1
Direct
0.5000 0.0000 0.0000
0.0000 0.5000 0.0000
0.0000 0.0000 0.0000
0.5000 0.5000 0.5000
0.0000 0.0000 0.5000

=====

Entry 2
GGA-PBE IrAuSeN2, optimized geometry; M_tot = 0.32 Bohr magnetons per cell; SG = No. 123; calculated density = 9.94 g/cm3
1.0
-0.8513 -1.8111 -3.1883
3.1980 1.2346 -1.5552
2.7875 -4.7554 1.9569
Se N Au Ir
1 2 1 1
Direct
0.0000 0.0000 0.5000
0.5000 0.0000 0.0000
0.0000 0.5000 0.0000
0.5000 0.5000 0.5000
0.0000 0.0000 0.0000

=====

Most stable structure: entry 2